AlTlSn2: relaxed, PBE-GGA.

Cell: 3.608 3.608 8.185 Å, 90.00 90.00 90.00°
Fractional coordinates of all 4 atoms:
Al (0.000, 0.000, 0.000)
Tl (0.000, 0.000, 0.500)
Sn (0.500, 0.500, 0.196)
Sn (0.500, 0.500, 0.804)

* energy: -3.45 eV/atom
* crystal system: tetragonal
* energy relative to the lowest polymorph listed for this composition: 0 meV/atom
* ΔH_f (0 K): 0.08 eV per atom